Entry from the Alexandria database: crystalline Ba4Ag2N at its relaxed geometry (GGA-PBE).

Geometry as CIF:
```
data_Ba4Ag2N
_chemical_formula_sum 'Ba4 Ag2 N1'
_cell_length_a 5.598
_cell_length_b 5.598
_cell_length_c 9.373
_cell_angle_alpha 72.62
_cell_angle_beta 72.62
_cell_angle_gamma 90.00
_symmetry_space_group_name_H-M 'P 1'
_symmetry_Int_Tables_number 1
_symmetry_space_group_name_Hall 'P 1'
loop_
_atom_site_label
_atom_site_type_symbol
_atom_site_fract_x
_atom_site_fract_y
_atom_site_fract_z
Ag1 Ag 0.633 0.633 0.735
Ag2 Ag 0.367 0.367 0.265
Ba1 Ba 0.164 0.164 0.672
N1 N 0.000 0.000 0.000
Ba2 Ba 0.500 0.000 0.000
Ba3 Ba 0.000 0.500 0.000
Ba4 Ba 0.836 0.836 0.328
```

Results
As for the energy relative to the elements, uncorrected: -240 meV/atom. The total magnetic moment comes out at 0.00 μB/atom. The total DFT energy (no corrections) comes out at -0.2457 Ry/atom. Its crystal system is tetragonal. The energy relative to the lowest polymorph listed for this composition comes out at 0.030 eV/atom.


Entry from the Alexandria database: crystalline BaNi2AgN at its relaxed geometry (GGA-PBE).

Geometry as CIF:
```
data_BaNi2AgN
_chemical_formula_sum 'Ba1 Ni2 Ag1 N1'
_cell_length_a 5.062
_cell_length_b 4.477
_cell_length_c 5.062
_cell_angle_alpha 90.00
_cell_angle_beta 90.00
_cell_angle_gamma 90.00
_symmetry_space_group_name_H-M 'P 1'
_symmetry_Int_Tables_number 1
_symmetry_space_group_name_Hall 'P 1'
loop_
_atom_site_label
_atom_site_type_symbol
_atom_site_fract_x
_atom_site_fract_y
_atom_site_fract_z
Ba1 Ba 0.000 0.000 0.000
Ni1 Ni 0.000 0.000 0.500
Ni2 Ni 0.500 0.000 0.000
Ag1 Ag 0.500 0.500 0.500
N1 N 0.000 0.500 0.000
```

Results
As for the energy relative to the elements, uncorrected: 1954 meV/atom. The total magnetic moment comes out at 0.17 μB/atom. The total DFT energy (no corrections) comes out at -0.2189 Ry/atom. Its crystal system is tetragonal.


Entry from the Alexandria database: crystalline Ba6Ag2PdN at its relaxed geometry (GGA-PBE).

Geometry as CIF:
```
data_Ba6Ag2PdN
_chemical_formula_sum 'Ba12 Ag4 Pd2 N2'
_cell_length_a 7.817
_cell_length_b 8.553
_cell_length_c 11.451
_cell_angle_alpha 90.00
_cell_angle_beta 89.50
_cell_angle_gamma 90.00
_symmetry_space_group_name_H-M 'P 1'
_symmetry_Int_Tables_number 1
_symmetry_space_group_name_Hall 'P 1'
loop_
_atom_site_label
_atom_site_type_symbol
_atom_site_fract_x
_atom_site_fract_y
_atom_site_fract_z
Ba1 Ba 0.204 0.175 0.449
Ag1 Ag 0.460 0.408 0.250
Ba2 Ba 0.169 0.207 0.055
Ag2 Ag 0.040 0.908 0.250
Ba3 Ba 0.331 0.707 0.445
Ba4 Ba 0.296 0.675 0.051
Ag3 Ag 0.960 0.092 0.750
Ba5 Ba 0.110 0.473 0.768
Pd1 Pd 0.500 0.000 0.000
Ba6 Ba 0.390 0.973 0.732
Ag4 Ag 0.540 0.592 0.750
Ba7 Ba 0.831 0.793 0.945
N1 N 0.000 0.500 0.000
Ba8 Ba 0.610 0.027 0.268
Ba9 Ba 0.890 0.527 0.232
N2 N 0.500 0.000 0.500
Ba10 Ba 0.704 0.325 0.949
Pd2 Pd 0.000 0.500 0.500
Ba11 Ba 0.796 0.825 0.551
Ba12 Ba 0.669 0.293 0.555
```

Results
As for the energy relative to the elements, uncorrected: -294 meV/atom. The total magnetic moment comes out at 0.00 μB/atom. The total DFT energy (no corrections) comes out at -0.2476 Ry/atom. Its crystal system is monoclinic.


Entry from the Alexandria database: crystalline Ba2AgPtN at its relaxed geometry (GGA-PBE).

Geometry as CIF:
```
data_Ba2AgPtN
_chemical_formula_sum 'Ba2 Ag1 Pt1 N1'
_cell_length_a 5.872
_cell_length_b 5.872
_cell_length_c 3.873
_cell_angle_alpha 90.00
_cell_angle_beta 90.00
_cell_angle_gamma 90.00
_symmetry_space_group_name_H-M 'P 1'
_symmetry_Int_Tables_number 1
_symmetry_space_group_name_Hall 'P 1'
loop_
_atom_site_label
_atom_site_type_symbol
_atom_site_fract_x
_atom_site_fract_y
_atom_site_fract_z
Ag1 Ag 0.500 0.500 0.500
N1 N 0.000 0.000 0.000
Ba1 Ba 0.000 0.500 0.000
Pt1 Pt 0.000 0.000 0.500
Ba2 Ba 0.500 0.000 0.000
```

Results
As for the energy relative to the elements, uncorrected: -472 meV/atom. The total magnetic moment comes out at 0.00 μB/atom. The total DFT energy (no corrections) comes out at -0.3443 Ry/atom. Its crystal system is tetragonal.


Entry from the Alexandria database: crystalline Ba6Ag2PtN at its relaxed geometry (GGA-PBE).

Geometry as CIF:
```
data_Ba6Ag2PtN
_chemical_formula_sum 'Ba12 Ag4 Pt2 N2'
_cell_length_a 7.833
_cell_length_b 8.485
_cell_length_c 11.443
_cell_angle_alpha 90.00
_cell_angle_beta 89.77
_cell_angle_gamma 90.00
_symmetry_space_group_name_H-M 'P 1'
_symmetry_Int_Tables_number 1
_symmetry_space_group_name_Hall 'P 1'
loop_
_atom_site_label
_atom_site_type_symbol
_atom_site_fract_x
_atom_site_fract_y
_atom_site_fract_z
N1 N 0.000 0.500 0.000
Ba1 Ba 0.895 0.525 0.234
Ba2 Ba 0.826 0.793 0.948
Ba3 Ba 0.105 0.475 0.766
N2 N 0.500 0.000 0.500
Pt1 Pt 0.000 0.500 0.500
Ba4 Ba 0.605 0.025 0.266
Ba5 Ba 0.326 0.707 0.448
Ba6 Ba 0.795 0.821 0.550
Pt2 Pt 0.500 0.000 0.000
Ba7 Ba 0.295 0.679 0.050
Ag1 Ag 0.463 0.413 0.250
Ba8 Ba 0.674 0.293 0.552
Ag2 Ag 0.037 0.913 0.250
Ba9 Ba 0.205 0.179 0.450
Ba10 Ba 0.705 0.321 0.950
Ag3 Ag 0.537 0.587 0.750
Ba11 Ba 0.395 0.975 0.734
Ag4 Ag 0.963 0.087 0.750
Ba12 Ba 0.174 0.207 0.052
```

Results
As for the energy relative to the elements, uncorrected: -360 meV/atom. The total magnetic moment comes out at 0.00 μB/atom. The total DFT energy (no corrections) comes out at -0.2587 Ry/atom. Its crystal system is monoclinic.


Entry from the Alexandria database: crystalline Ba5Ag2PtN at its relaxed geometry (GGA-PBE).

Geometry as CIF:
```
data_Ba5Ag2PtN
_chemical_formula_sum 'Ba10 Ag4 Pt2 N2'
_cell_length_a 4.613
_cell_length_b 10.467
_cell_length_c 14.610
_cell_angle_alpha 90.00
_cell_angle_beta 90.00
_cell_angle_gamma 102.73
_symmetry_space_group_name_H-M 'P 1'
_symmetry_Int_Tables_number 1
_symmetry_space_group_name_Hall 'P 1'
loop_
_atom_site_label
_atom_site_type_symbol
_atom_site_fract_x
_atom_site_fract_y
_atom_site_fract_z
Ba1 Ba 0.647 0.295 0.508
Ba2 Ba 0.712 0.424 0.175
Ag1 Ag 0.888 0.776 0.181
Ba3 Ba 0.043 0.085 0.015
Ba4 Ba 0.673 0.347 0.885
Ba5 Ba 0.353 0.705 0.008
Ba6 Ba 0.957 0.915 0.515
Pt1 Pt 0.203 0.407 0.032
N1 N 0.550 0.101 0.925
Ag2 Ag 0.112 0.224 0.681
Ba7 Ba 0.288 0.576 0.675
Ba8 Ba 0.505 0.009 0.278
Ag3 Ag 0.134 0.268 0.325
N2 N 0.450 0.899 0.425
Ba9 Ba 0.495 0.991 0.778
Ag4 Ag 0.866 0.732 0.825
Pt2 Pt 0.797 0.593 0.532
Ba10 Ba 0.327 0.653 0.385
```

Results
As for the energy relative to the elements, uncorrected: -375 meV/atom. The total magnetic moment comes out at 0.00 μB/atom. The total DFT energy (no corrections) comes out at -0.2700 Ry/atom. Its crystal system is orthorhombic.


Entry from the Alexandria database: crystalline RbBaAgN2 at its relaxed geometry (GGA-PBE).

Geometry as CIF:
```
data_RbBaAgN2
_chemical_formula_sum 'Rb1 Ba1 Ag1 N2'
_cell_length_a 4.950
_cell_length_b 9.168
_cell_length_c 4.950
_cell_angle_alpha 90.00
_cell_angle_beta 90.00
_cell_angle_gamma 90.00
_symmetry_space_group_name_H-M 'P 1'
_symmetry_Int_Tables_number 1
_symmetry_space_group_name_Hall 'P 1'
loop_
_atom_site_label
_atom_site_type_symbol
_atom_site_fract_x
_atom_site_fract_y
_atom_site_fract_z
Ag1 Ag 0.500 0.500 0.500
N1 N 0.500 0.000 0.000
Rb1 Rb 0.000 0.500 0.000
Ba1 Ba 0.000 0.000 0.000
N2 N 0.000 0.000 0.500
```

Results
As for the energy relative to the elements, uncorrected: 1515 meV/atom. The total magnetic moment comes out at 0.20 μB/atom. The total DFT energy (no corrections) comes out at -0.2178 Ry/atom. Its crystal system is tetragonal.


Entry from the Alexandria database: crystalline Ba6Ag2RhN at its relaxed geometry (GGA-PBE).

Geometry as CIF:
```
data_Ba6Ag2RhN
_chemical_formula_sum 'Ba12 Ag4 Rh2 N2'
_cell_length_a 7.760
_cell_length_b 8.449
_cell_length_c 11.401
_cell_angle_alpha 90.00
_cell_angle_beta 89.77
_cell_angle_gamma 90.00
_symmetry_space_group_name_H-M 'P 1'
_symmetry_Int_Tables_number 1
_symmetry_space_group_name_Hall 'P 1'
loop_
_atom_site_label
_atom_site_type_symbol
_atom_site_fract_x
_atom_site_fract_y
_atom_site_fract_z
Ba1 Ba 0.896 0.522 0.236
Ba2 Ba 0.702 0.321 0.951
Ba3 Ba 0.174 0.202 0.052
Ag1 Ag 0.539 0.591 0.751
Rh1 Rh 0.000 0.500 0.500
Ba4 Ba 0.826 0.798 0.948
N1 N 0.000 0.500 0.000
Ag2 Ag 0.961 0.091 0.749
Ba5 Ba 0.104 0.478 0.764
Ba6 Ba 0.396 0.978 0.736
Rh2 Rh 0.500 0.000 0.000
Ba7 Ba 0.298 0.679 0.049
Ba8 Ba 0.798 0.821 0.549
Ba9 Ba 0.674 0.298 0.552
N2 N 0.500 0.000 0.500
Ba10 Ba 0.604 0.022 0.264
Ba11 Ba 0.326 0.702 0.448
Ag3 Ag 0.039 0.909 0.251
Ba12 Ba 0.202 0.179 0.451
Ag4 Ag 0.461 0.409 0.249
```

Results
As for the energy relative to the elements, uncorrected: -207 meV/atom. The total magnetic moment comes out at 0.00 μB/atom. The total DFT energy (no corrections) comes out at -0.2572 Ry/atom. Its crystal system is monoclinic.


Entry from the Alexandria database: crystalline Ba2AgRhN at its relaxed geometry (GGA-PBE).

Geometry as CIF:
```
data_Ba2AgRhN
_chemical_formula_sum 'Ba2 Ag1 Rh1 N1'
_cell_length_a 5.830
_cell_length_b 5.830
_cell_length_c 3.853
_cell_angle_alpha 90.00
_cell_angle_beta 90.00
_cell_angle_gamma 90.00
_symmetry_space_group_name_H-M 'P 1'
_symmetry_Int_Tables_number 1
_symmetry_space_group_name_Hall 'P 1'
loop_
_atom_site_label
_atom_site_type_symbol
_atom_site_fract_x
_atom_site_fract_y
_atom_site_fract_z
Rh1 Rh 0.000 0.000 0.500
Ag1 Ag 0.500 0.500 0.500
Ba1 Ba 0.000 0.500 0.000
Ba2 Ba 0.500 0.000 0.000
N1 N 0.000 0.000 0.000
```

Results
As for the energy relative to the elements, uncorrected: -417 meV/atom. The total magnetic moment comes out at 0.00 μB/atom. The total DFT energy (no corrections) comes out at -0.3595 Ry/atom. Its crystal system is tetragonal.


Entry from the Alexandria database: crystalline BaAg2RuN at its relaxed geometry (GGA-PBE).

Geometry as CIF:
```
data_BaAg2RuN
_chemical_formula_sum 'Ba1 Ag2 Ru1 N1'
_cell_length_a 5.392
_cell_length_b 3.813
_cell_length_c 5.392
_cell_angle_alpha 90.00
_cell_angle_beta 90.00
_cell_angle_gamma 90.00
_symmetry_space_group_name_H-M 'P 1'
_symmetry_Int_Tables_number 1
_symmetry_space_group_name_Hall 'P 1'
loop_
_atom_site_label
_atom_site_type_symbol
_atom_site_fract_x
_atom_site_fract_y
_atom_site_fract_z
Ru1 Ru 0.000 0.000 0.000
N1 N 0.000 0.500 0.000
Ag1 Ag 0.000 0.000 0.500
Ag2 Ag 0.500 0.000 0.000
Ba1 Ba 0.500 0.500 0.500
```

Results
As for the energy relative to the elements, uncorrected: 203 meV/atom. The total magnetic moment comes out at 0.00 μB/atom. The total DFT energy (no corrections) comes out at -0.3559 Ry/atom. Its crystal system is tetragonal.


Entry from the Alexandria database: crystalline Ba2AgRuN at its relaxed geometry (GGA-PBE).

Geometry as CIF:
```
data_Ba2AgRuN
_chemical_formula_sum 'Ba2 Ag1 Ru1 N1'
_cell_length_a 6.202
_cell_length_b 4.884
_cell_length_c 6.202
_cell_angle_alpha 90.00
_cell_angle_beta 90.00
_cell_angle_gamma 90.00
_symmetry_space_group_name_H-M 'P 1'
_symmetry_Int_Tables_number 1
_symmetry_space_group_name_Hall 'P 1'
loop_
_atom_site_label
_atom_site_type_symbol
_atom_site_fract_x
_atom_site_fract_y
_atom_site_fract_z
Ru1 Ru 0.000 0.500 0.000
Ba1 Ba 0.000 0.000 0.500
N1 N 0.500 0.500 0.500
Ag1 Ag 0.000 0.000 0.000
Ba2 Ba 0.500 0.000 0.000
```

Results
As for the energy relative to the elements, uncorrected: 1336 meV/atom. The total magnetic moment comes out at 0.60 μB/atom. The total DFT energy (no corrections) comes out at -0.2590 Ry/atom. Its crystal system is tetragonal. The energy relative to the lowest polymorph listed for this composition comes out at 1.628 eV/atom.


Entry from the Alexandria database: crystalline Ba2AgRuN at its relaxed geometry (GGA-PBE).

Geometry as CIF:
```
data_Ba2AgRuN
_chemical_formula_sum 'Ba2 Ag1 Ru1 N1'
_cell_length_a 5.865
_cell_length_b 5.865
_cell_length_c 3.822
_cell_angle_alpha 90.00
_cell_angle_beta 90.00
_cell_angle_gamma 90.00
_symmetry_space_group_name_H-M 'P 1'
_symmetry_Int_Tables_number 1
_symmetry_space_group_name_Hall 'P 1'
loop_
_atom_site_label
_atom_site_type_symbol
_atom_site_fract_x
_atom_site_fract_y
_atom_site_fract_z
Ru1 Ru 0.000 0.000 0.500
Ba1 Ba 0.500 0.000 0.000
Ag1 Ag 0.500 0.500 0.500
N1 N 0.000 0.000 0.000
Ba2 Ba 0.000 0.500 0.000
```

Results
As for the energy relative to the elements, uncorrected: -292 meV/atom. The total magnetic moment comes out at 0.00 μB/atom. The total DFT energy (no corrections) comes out at -0.3787 Ry/atom. Its crystal system is tetragonal. The energy relative to the lowest polymorph listed for this composition comes out at 0.000 eV/atom.